CeTi2Zn: optimized geometry, PBE.

```
CeTi2Zn
1.0
2.976 0.000 0.000
0.000 2.976 0.000
0.000 0.000 8.463
Ce Ti Zn
1 2 1
direct
0.000 0.000 0.000
0.500 0.500 0.288
0.500 0.500 0.712
0.000 0.000 0.500
```

Summary:
Theoretical density (g/cm3): 6.67
Calculated total energy (Ry/atom): -0.42062
Total magnetic moment (μB per atom): 0.002
E above lowest polymorph (kcal/mol of atoms): 0.00

---

Ce2TiZn: optimized geometry, PBE.

```
Ce2TiZn
1.0
3.041 0.000 0.000
0.000 3.041 0.000
0.000 0.000 9.460
Ce Ti Zn
2 1 1
direct
0.000 0.000 0.248
0.000 0.000 0.752
0.500 0.500 0.500
0.500 0.500 0.000
```

Summary:
Theoretical density (g/cm3): 7.47
Calculated total energy (Ry/atom): -0.38509
Total magnetic moment (μB per atom): 0.000
E above lowest polymorph (kcal/mol of atoms): 0.00